Na6Cd3Hg: optimized geometry, GGA-PBE.

Values from the calculation:
As for the uncorrected energy: -1.165 eV/atom.

abc: 3.370 12.126 15.066
angles: 112.02 90.00 90.00
Fractional positions:
Cd  0.750  0.414  0.909
Cd  0.750  0.097  0.069
Cd  0.750  0.618  0.503
Cd  0.250  0.586  0.091
Cd  0.250  0.382  0.497
Cd  0.250  0.903  0.931
Na  0.750  0.696  0.291
Na  0.250  0.863  0.516
Na  0.250  0.639  0.900
Na  0.250  0.304  0.709
Na  0.750  0.137  0.484
Na  0.750  0.850  0.121
Na  0.750  0.842  0.731
Na  0.750  0.361  0.100
Na  0.250  0.455  0.316
Na  0.250  0.150  0.879
Na  0.250  0.158  0.269
Na  0.750  0.545  0.684
Hg  0.250  0.930  0.324
Hg  0.750  0.070  0.676



Na2CdHg2: optimized geometry, GGA-PBE.

Values from the calculation:
As for the uncorrected energy: -0.898 eV/atom.

abc: 4.261 4.261 8.796
angles: 75.98 75.98 90.00
Fractional positions:
Hg  0.250  0.750  0.500
Hg  0.750  0.250  0.500
Cd  0.000  0.000  0.000
Na  0.603  0.603  0.794
Na  0.397  0.397  0.206



Na2Cd6Hg21: optimized geometry, GGA-PBE.

Values from the calculation:
As for the uncorrected energy: -0.501 eV/atom.

abc: 10.561 10.561 10.561
angles: 60.00 60.00 60.00
Fractional positions:
Hg  0.000  0.653  0.000
Hg  0.000  0.000  0.347
Hg  0.630  0.630  0.630
Hg  0.890  0.370  0.370
Hg  0.000  0.347  0.653
Hg  0.370  0.370  0.890
Hg  0.653  0.000  0.000
Hg  0.110  0.630  0.630
Hg  0.000  0.653  0.347
Hg  0.347  0.000  0.653
Hg  0.000  0.000  0.000
Hg  0.000  0.000  0.653
Hg  0.630  0.110  0.630
Hg  0.347  0.653  0.000
Hg  0.370  0.890  0.370
Hg  0.347  0.000  0.000
Hg  0.653  0.347  0.000
Hg  0.653  0.000  0.347
Hg  0.370  0.370  0.370
Hg  0.630  0.630  0.110
Hg  0.000  0.347  0.000
Cd  0.725  0.275  0.275
Cd  0.725  0.725  0.275
Cd  0.275  0.275  0.725
Cd  0.275  0.725  0.725
Cd  0.725  0.275  0.725
Cd  0.275  0.725  0.275
Na  0.750  0.750  0.750
Na  0.250  0.250  0.250



Na8CdHg3: optimized geometry, GGA-PBE.

Values from the calculation:
As for the uncorrected energy: -1.157 eV/atom.

abc: 9.598 8.534 6.628
angles: 60.20 101.14 129.59
Fractional positions:
Cd  0.885  0.000  0.196
Na  0.117  0.499  0.691
Na  0.618  0.501  0.191
Na  0.878  0.000  0.680
Na  0.479  0.553  0.594
Na  0.208  0.000  0.138
Na  0.562  0.000  0.950
Na  0.926  0.447  0.147
Na  0.231  0.000  0.633
Hg  0.824  0.578  0.629
Hg  0.527  0.000  0.443
Hg  0.245  0.422  0.207



Na2CdHg7: optimized geometry, GGA-PBE.

Values from the calculation:
As for the uncorrected energy: -0.510 eV/atom.

abc: 8.019 8.019 8.019
angles: 60.00 60.00 60.00
Fractional positions:
Na  0.250  0.250  0.250
Na  0.750  0.750  0.750
Hg  0.751  0.249  0.249
Hg  0.500  0.500  0.500
Hg  0.751  0.249  0.751
Hg  0.249  0.249  0.751
Hg  0.751  0.751  0.249
Hg  0.249  0.751  0.249
Hg  0.249  0.751  0.751
Cd  0.000  0.000  0.000



Na2Cd5Hg5: optimized geometry, GGA-PBE.

Values from the calculation:
As for the uncorrected energy: -0.782 eV/atom.

abc: 5.316 5.898 10.349
angles: 90.00 90.00 90.00
Fractional positions:
Cd  0.500  0.249  0.253
Cd  0.500  0.249  0.747
Cd  0.500  0.500  0.500
Cd  0.500  0.751  0.747
Cd  0.500  0.751  0.253
Hg  0.000  0.500  0.667
Hg  0.500  0.000  0.000
Hg  0.000  0.500  0.333
Hg  0.000  0.000  0.172
Hg  0.000  0.000  0.828
Na  0.000  0.000  0.500
Na  0.000  0.500  0.000